La8As3Se4Br | PBE | optimized geometry

Summary:
- symmetry = No. 166

Lattice parameters (Å, degrees): 8.699 8.677 8.699 120.08 120.00 90.00
Positions (direct):
As  0.500  0.500  0.500
As  0.000  0.500  0.500
As  0.500  0.500  0.000
Se  0.500  0.000  0.000
Se  0.000  0.000  0.500
Se  0.000  0.000  0.000
Se  0.500  0.000  0.500
La  0.742  0.249  0.006
La  0.736  0.751  0.994
La  0.258  0.751  0.516
La  0.253  0.258  0.505
La  0.258  0.751  0.994
La  0.747  0.742  0.495
La  0.264  0.249  0.006
La  0.742  0.249  0.484
Br  0.000  0.500  0.000

La4AsSeBr2 | PBE | optimized geometry

Summary:
- symmetry = No. 10

Lattice parameters (Å, degrees): 4.367 7.523 7.548 109.60 90.00 90.00
Positions (direct):
La  0.500  0.756  0.774
La  0.000  0.739  0.225
La  0.000  0.261  0.775
La  0.500  0.244  0.226
Se  0.000  0.000  0.000
Br  0.000  0.500  0.500
Br  0.500  0.000  0.500
As  0.500  0.500  0.000

La6SiAs2Br3 | PBE | optimized geometry

Summary:
- symmetry = No. 12

Lattice parameters (Å, degrees): 4.360 8.886 9.882 104.09 102.74 90.00
Positions (direct):
As  0.833  0.666  0.666
As  0.167  0.334  0.334
Br  0.167  0.833  0.333
Br  0.833  0.167  0.667
Br  0.500  0.500  0.000
La  0.658  0.099  0.315
La  0.994  0.771  0.988
La  0.673  0.565  0.347
La  0.006  0.229  0.012
La  0.342  0.901  0.685
La  0.327  0.435  0.653
Si  0.500  0.000  0.000

La8Si3AsBr4 | PBE | optimized geometry

Summary:
- symmetry = No. 166

Lattice parameters (Å, degrees): 8.735 8.953 8.734 119.19 120.00 90.00
Positions (direct):
Br  0.500  0.000  0.000
Br  0.500  0.000  0.500
Br  0.000  0.000  0.500
Br  0.000  0.000  0.000
La  0.734  0.715  0.975
La  0.240  0.715  0.481
La  0.241  0.715  0.975
La  0.738  0.715  0.477
La  0.262  0.285  0.523
La  0.760  0.285  0.519
La  0.759  0.285  0.025
La  0.266  0.285  0.025
Si  0.000  0.500  0.500
Si  0.500  0.500  0.000
Si  0.500  0.500  0.500
As  0.000  0.500  0.000

Energy relative to the elements, uncorrected: -1.800, -1.595, -1.420, -1.256 (eV/atom)
Raw total energy: -6.11, -5.49, -5.53, -5.44 (eV/atom)